# PBE-GGA K2BiPd, optimized geometry
# Formation enthalpy at 0 K = -274 meV/atom
# SG = Cmcm, No. 63
# Density of states at the Fermi level = 0.899 states/eV/atom
# Total magnetization = 0.001 μB/f.u.
data_K2BiPd
_space_group_name_H-M_alt 'P 1'
_space_group_IT_number 1
_cell_length_a 6.752
_cell_length_b 6.752
_cell_length_c 6.311
_cell_angle_alpha 90.00
_cell_angle_beta 90.00
_cell_angle_gamma 71.24
loop_
_space_group_symop_operation_xyz
'x,y,z'
loop_
_atom_site_label
_atom_site_type_symbol
_atom_site_fract_x
_atom_site_fract_y
_atom_site_fract_z
K1 K 0.011 0.646 0.750
K2 K 0.354 0.989 0.750
K3 K 0.646 0.011 0.250
K4 K 0.989 0.354 0.250
Bi1 Bi 0.221 0.779 0.250
Bi2 Bi 0.779 0.221 0.750
Pd1 Pd 0.500 0.500 0.000
Pd2 Pd 0.500 0.500 0.500